DFT (GGA-PBEsol) results for Ba2SnS3F2 after structural relaxation.

Output
Calculated density ... 4.69 g cm⁻³
Energy relative to the elements, uncorrected ... -2.204 eV per atom
D(E_F) ... 0.00 states/eV per cell
Crystal system ... orthorhombic

Cell lengths 6.184, 6.275, 19.258 Å; angles 90.00, 90.00, 90.00 degrees
Positions (direct):
1 Sn 0.654 0.915 0.250
2 S 0.757 0.534 0.250
3 S 0.242 0.985 0.637
4 F 0.999 0.247 0.499
5 Ba 0.254 0.997 0.423
6 Ba 0.746 0.003 0.923
7 S 0.758 0.015 0.137
8 Ba 0.746 0.003 0.577
9 Ba 0.754 0.503 0.077
10 Ba 0.754 0.503 0.423
11 F 0.499 0.253 0.001
12 F 0.501 0.747 0.501
13 S 0.258 0.485 0.363
14 S 0.758 0.015 0.363
15 S 0.742 0.515 0.863
16 S 0.242 0.985 0.863
17 F 0.001 0.753 0.501
18 F 0.999 0.247 0.001
19 S 0.257 0.966 0.250
20 S 0.742 0.515 0.637
21 Sn 0.346 0.085 0.750
22 S 0.743 0.034 0.750
23 Ba 0.254 0.997 0.077
24 S 0.258 0.485 0.137
25 Ba 0.246 0.497 0.577
26 Ba 0.246 0.497 0.923
27 Sn 0.846 0.415 0.750
28 F 0.001 0.753 0.999
29 F 0.501 0.747 0.999
30 Sn 0.154 0.585 0.250
31 F 0.499 0.253 0.499
32 S 0.243 0.466 0.750